## Mn3O2F4 (SCAN)

Data for Mn3O2F4 at its PBEsol-relaxed geometry.

Cell: 4.734 4.734 9.267 Å, 90.00 90.00 90.00°
Element x y z (fractional)
Mn 0.000 0.000 0.000
Mn 0.000 0.000 0.350
Mn 0.000 0.000 0.650
Mn 0.500 0.500 0.150
Mn 0.500 0.500 0.500
Mn 0.500 0.500 0.850
O 0.190 0.190 0.500
O 0.310 0.690 0.000
O 0.690 0.310 0.000
O 0.810 0.810 0.500
F 0.186 0.186 0.185
F 0.186 0.186 0.815
F 0.314 0.686 0.315
F 0.314 0.686 0.685
F 0.686 0.314 0.315
F 0.686 0.314 0.685
F 0.814 0.814 0.185
F 0.814 0.814 0.815

SG: P4_2/mnm (136)
Formation energy from raw total energies, eV per atom: -2.594
Energy relative to the lowest polymorph listed for this composition, meV/atom: 2
Magnetization, μB/f.u.: 13.00